# 1
VASP calculation (GGA-PBE) on a relaxed B3PbCl crystal.

The structure in POSCAR format:
```
B3PbCl
1.0
4.8097 0.0000 0.0000
0.0000 4.8097 0.0000
0.0000 0.0000 4.8097
B Pb Cl
3 1 1
direct
0.0000 0.0000 0.5000
0.0000 0.5000 0.0000
0.5000 0.0000 0.0000
0.0000 0.0000 0.0000
0.5000 0.5000 0.5000
```

Values from the calculation:
- Crystal system: cubic
- Total DFT energy (no corrections): -2.78 eV/atom
- Formation energy from raw total energies: 2342 meV per atom
- Total magnetic moment: 0.000 μB/atom

# 2
VASP calculation (GGA-PBE) on a relaxed Na2FeRu crystal.

The structure in POSCAR format:
```
Na2FeRu
1.0
0.0000 3.3134 3.3134
3.3134 0.0000 3.3134
3.3134 3.3134 0.0000
Na Fe Ru
2 1 1
direct
0.2500 0.2500 0.2500
0.7500 0.7500 0.7500
0.0000 0.0000 0.0000
0.5000 0.5000 0.5000
```

Values from the calculation:
- Crystal system: cubic
- Energy of formation from the pure elements: 1.24 eV/atom
- Total DFT energy (no corrections): -3.85 eV/atom
- Total magnetic moment: 1.116 μB/atom